Entry 1:
VASP calculation (PBE) on an optimized crystal structure of ZnInOF2.

a b c (Å): 4.2931 4.2931 4.1340
angles (deg): 90.00 90.00 90.00
Atoms (fractional coordinates):
Zn 0.0000 0.0000 0.0000
In 0.5000 0.5000 0.5000
O 0.5000 0.5000 0.0000
F 0.0000 0.5000 0.5000
F 0.5000 0.0000 0.5000

## Properties
Formation energy without anion corrections in eV/atom: -1.389
Energy above the most stable polymorph in this dataset in meV per atom: 130
Calculated volume in Å³ per atom: 15.2
Total magnetic moment in μB/f.u.: 0.5

***

Entry 2:
VASP calculation (PBE) on an optimized crystal structure of ZrInO2F.

a b c (Å): 4.1829 4.1829 4.2659
angles (deg): 90.00 90.00 90.00
Atoms (fractional coordinates):
Zr 0.0000 0.0000 0.0000
In 0.5000 0.5000 0.5000
O 0.0000 0.5000 0.0000
O 0.5000 0.0000 0.0000
F 0.0000 0.0000 0.5000

## Properties
Formation energy without anion corrections in eV/atom: -2.454
Calculated volume in Å³ per atom: 14.9
Total magnetic moment in μB/f.u.: 0.0

***

Entry 3:
VASP calculation (PBE) on an optimized crystal structure of ZrInOF2.

a b c (Å): 4.5215 4.5215 4.1499
angles (deg): 90.00 90.00 90.00
Atoms (fractional coordinates):
Zr 0.0000 0.0000 0.0000
In 0.5000 0.5000 0.5000
O 0.5000 0.5000 0.0000
F 0.0000 0.5000 0.5000
F 0.5000 0.0000 0.5000

## Properties
Formation energy without anion corrections in eV/atom: -1.162
Calculated volume in Å³ per atom: 17.0
Total magnetic moment in μB/f.u.: 2.5